Density functional theory data (PBE-GGA) for a geometry-optimized AlAsCl2 structure.

abc: 9.4308 9.4313 9.4312
angles: 20.38 20.40 20.39
With the nearest neighbours (Å) after each atom.
Atoms (fractional coordinates):
As  0.7500  0.7500  0.7500  6 As 3.34, 6 Cl 3.64
Al  0.2500  0.2500  0.2500  6 Cl 2.46
Cl  0.9719  0.9720  0.9719  3 Al 2.46
Cl  0.5281  0.5280  0.5281  3 Al 2.46

Energy above the most stable polymorph in this dataset = 503 meV per atom
SG = No. 166
Uncorrected formation energy = -0.12 eV per atom
Total magnetization = 0.23 μB/f.u.